Here is a geometry-optimized ZrTl2Zn structure from the Alexandria database. Energies are from GGA-PBEsol.

Unit cell a=4.1682 b=4.1682 c=5.6765 alpha=111.54 beta=111.54 gamma=90.00
Fractional coordinates of all 4 atoms:
Tl1 0.0000 0.0000 0.0000
Tl2 0.7500 0.2500 0.5000
Zn1 0.5000 0.5000 0.0000
Zr1 0.2500 0.7500 0.5000

Summary:
spin magnetization	0.0	μB per cell
DFT formation energy	0.09	eV/f.u.
offset from the most stable computed form	92	meV per atom
Fermi-level density of states	3.39	states/eV/f.u.